Record 1
Compound: NpNbC2
Source: Alexandria
Functional: PBE-GGA
Structure: relaxed Values from VASP.

```
&SYSTEM
  ibrav = 0, nat = 4, ntyp = 3
/
ATOMIC_SPECIES
C 12.01 C.upf
Np 237.00 Np.upf
Nb 92.91 Nb.upf
ATOMIC_POSITIONS crystal
C 0.2566 0.2566 0.2303
C 0.7434 0.7434 0.7697
Np 0.5000 0.5000 0.5000
Nb 0.0000 0.0000 0.0000
CELL_PARAMETERS angstrom
-1.7829 2.4618 1.1977
-3.0391 0.4975 -1.0908
-3.5970 -2.4000 4.0346
```

## Properties
density of states at the Fermi level: 0.712 states/eV per atom
theoretical density: 11.34 g/cm³
distance to the lowest polymorph of the same formula: 0.0000 eV per atom
VASP energy: -10.655 eV per atom
energy relative to the elements: -0.29 eV per atom

Record 2
Compound: NpNbC2
Source: Alexandria
Functional: PBE-GGA
Structure: relaxed Values from VASP.

```
&SYSTEM
  ibrav = 0, nat = 4, ntyp = 3
/
ATOMIC_SPECIES
Np 237.00 Np.upf
Nb 92.91 Nb.upf
C 12.01 C.upf
ATOMIC_POSITIONS crystal
Np 0.4967 0.4967 0.5099
Nb 0.6699 0.6699 0.9903
C 0.0752 0.0752 0.7743
C 0.2582 0.2582 0.2255
CELL_PARAMETERS angstrom
3.1834 0.0000 0.0000
1.5917 2.7569 0.0000
1.5917 0.9190 5.9217
```

## Properties
density of states at the Fermi level: 0.926 states/eV per atom
theoretical density: 11.31 g/cm³
distance to the lowest polymorph of the same formula: 0.2162 eV per atom
VASP energy: -10.439 eV per atom
energy relative to the elements: -0.07 eV per atom